The following is a PBE-GGA calculation of Ba2Li2Au after structural relaxation, from the Alexandria database.

Space group = P4/mbm
Energy above the most stable polymorph in this dataset = 245 meV per atom
Crystal system = tetragonal
ΔH_f (0 K) = -0.015 eV per atom
Fermi-level density of states = 3.689 states/eV/cell

abc: 8.836 8.836 5.430
angles: 90.00 90.00 90.00
Positions (direct):
Au 0.000 0.000 0.000
Au 0.500 0.500 0.000
Ba 0.322 0.822 0.000
Ba 0.822 0.678 0.000
Ba 0.678 0.178 0.000
Ba 0.178 0.322 0.000
Li 0.120 0.620 0.500
Li 0.620 0.880 0.500
Li 0.880 0.380 0.500
Li 0.380 0.120 0.500